<w>
Below is NdCuSbP after structural relaxation, with properties calculated at the PBE-GGA level.

a b c (Å): 4.053 4.053 10.512
angles (deg): 90.00 90.00 90.00
Fractional positions:
Sb 0.500 0.000 0.660
Nd 0.000 0.500 0.790
Cu 0.500 0.500 0.500
P 0.000 0.000 0.000
P 0.500 0.500 0.000
Nd 0.500 0.000 0.210
Sb 0.000 0.500 0.340
Cu 0.000 0.000 0.500

Computed properties:
Its symmetry is No. 129.



<x>
Below is NdCuSbP after structural relaxation, with properties calculated at the PBE-GGA level.

a b c (Å): 4.102 4.102 10.067
angles (deg): 90.00 90.00 90.00
Fractional positions:
Cu 0.500 0.500 0.500
Nd 0.000 0.500 0.737
Cu 0.000 0.000 0.500
P 0.000 0.500 0.362
Sb 0.000 0.000 0.000
Nd 0.500 0.000 0.263
P 0.500 0.000 0.638
Sb 0.500 0.500 0.000

Computed properties:
Its symmetry is No. 129.



Verdict on stability: <w> comes out at the bottom.



<w>
Below is NdCuTe3Pb after structural relaxation, with properties calculated at the PBE-GGA level.

a b c (Å): 10.492 10.492 8.702
angles (deg): 102.73 102.73 24.20
Fractional positions:
Te 0.679 0.679 0.338
Pb 0.118 0.118 0.066
Te 0.321 0.321 0.662
Te 0.326 0.326 0.158
Cu 0.546 0.546 0.706
Nd 0.158 0.158 0.581
Te 0.000 0.000 0.500
Te 0.500 0.500 0.000
Cu 0.454 0.454 0.294
Nd 0.842 0.842 0.419
Te 0.674 0.674 0.842
Pb 0.882 0.882 0.934

Computed properties:
Its symmetry is No. 12.



<x>
Below is NdCuTe3Pb after structural relaxation, with properties calculated at the PBE-GGA level.

a b c (Å): 7.647 7.647 11.579
angles (deg): 90.00 90.00 146.98
Fractional positions:
Cu 0.031 0.969 0.750
Te 0.854 0.146 0.428
Te 0.582 0.418 0.250
Nd 0.500 0.500 0.500
Te 0.854 0.146 0.072
Nd 0.500 0.500 0.000
Pb 0.261 0.739 0.250
Te 0.146 0.854 0.572
Te 0.418 0.582 0.750
Te 0.146 0.854 0.928
Pb 0.739 0.261 0.750
Cu 0.969 0.031 0.250

Computed properties:
Its symmetry is No. 63.



<y>
Below is NdCuTe3Pb after structural relaxation, with properties calculated at the PBE-GGA level.

a b c (Å): 12.494 4.481 12.691
angles (deg): 90.00 90.00 90.00
Fractional positions:
Nd 0.029 0.750 0.313
Cu 0.236 0.250 0.205
Te 0.786 0.750 0.191
Nd 0.971 0.250 0.687
Te 0.461 0.750 0.632
Te 0.894 0.250 0.439
Te 0.714 0.250 0.691
Te 0.539 0.250 0.368
Pb 0.807 0.250 0.988
Cu 0.264 0.750 0.705
Pb 0.307 0.250 0.512
Te 0.106 0.750 0.561
Te 0.214 0.250 0.809
Te 0.286 0.750 0.309
Te 0.394 0.250 0.061
Pb 0.193 0.750 0.012
Nd 0.471 0.250 0.813
Cu 0.736 0.250 0.295
Cu 0.764 0.750 0.795
Te 0.606 0.750 0.939
Te 0.039 0.250 0.132
Nd 0.529 0.750 0.187
Te 0.961 0.750 0.868
Pb 0.693 0.750 0.488

Computed properties:
Its symmetry is No. 62.



Verdict on stability: <w> comes out at the bottom.



<w>
Below is NdCuTe3Pb after structural relaxation, with properties calculated at the PBE-GGA level.

a b c (Å): 11.588 4.347 14.655
angles (deg): 90.00 90.00 90.00
Fractional positions:
Nd 0.479 0.750 0.759
Te 0.595 0.750 0.098
Te 0.235 0.750 0.667
Te 0.051 0.250 0.889
Nd 0.021 0.250 0.259
Cu 0.261 0.750 0.279
Cu 0.239 0.250 0.779
Pb 0.717 0.750 0.507
Te 0.949 0.750 0.111
Pb 0.783 0.250 0.007
Te 0.265 0.250 0.167
Te 0.405 0.250 0.902
Pb 0.217 0.750 0.993
Pb 0.283 0.250 0.493
Te 0.449 0.750 0.389
Te 0.765 0.250 0.333
Te 0.905 0.250 0.598
Nd 0.521 0.250 0.241
Nd 0.979 0.750 0.741
Te 0.735 0.750 0.833
Te 0.095 0.750 0.402
Cu 0.761 0.750 0.221
Te 0.551 0.250 0.611
Cu 0.739 0.250 0.721

Computed properties:
Its symmetry is No. 62.



<x>
Below is NdCuTe3Pb after structural relaxation, with properties calculated at the PBE-GGA level.

a b c (Å): 4.472 12.495 12.627
angles (deg): 90.00 90.00 90.00
Fractional positions:
Pb 0.750 0.699 0.518
Nd 0.250 0.968 0.311
Cu 0.250 0.734 0.706
Te 0.250 0.895 0.562
Te 0.750 0.605 0.062
Te 0.250 0.212 0.190
Nd 0.750 0.032 0.689
Te 0.750 0.961 0.130
Pb 0.250 0.801 0.018
Te 0.750 0.461 0.370
Pb 0.250 0.301 0.482
Te 0.250 0.539 0.630
Cu 0.250 0.234 0.794
Te 0.250 0.395 0.938
Pb 0.750 0.199 0.982
Te 0.750 0.788 0.810
Nd 0.250 0.468 0.189
Te 0.250 0.712 0.310
Te 0.750 0.105 0.438
Te 0.750 0.288 0.690
Te 0.250 0.039 0.870
Nd 0.750 0.532 0.811
Cu 0.750 0.766 0.206
Cu 0.750 0.266 0.294

Computed properties:
Its symmetry is No. 62.



Verdict on stability: <x> comes out at the bottom.



<w>
Below is Pr2NdCu2Si4Pd2 after structural relaxation, with properties calculated at the PBE-GGA level.

a b c (Å): 12.372 12.372 12.372
angles (deg): 160.60 160.26 27.81
Fractional positions:
Pr 0.854 0.354 0.500
Pd 0.751 0.751 0.000
Si 0.695 0.195 0.500
Si 0.550 0.550 0.000
Cu 0.596 0.096 0.500
Cu 0.404 0.904 0.500
Pr 0.146 0.646 0.500
Pd 0.249 0.249 0.000
Si 0.450 0.450 0.000
Nd 0.000 0.000 0.000
Si 0.305 0.805 0.500

Computed properties:
Its symmetry is No. 71.



<x>
Below is Pr2NdCu2Si4Pd2 after structural relaxation, with properties calculated at the PBE-GGA level.

a b c (Å): 12.588 12.588 12.588
angles (deg): 161.05 160.70 27.17
Fractional positions:
Pr 0.348 0.848 0.500
Si 0.452 0.452 0.000
Pr 0.652 0.152 0.500
Nd 0.000 0.000 0.000
Cu 0.249 0.249 0.000
Cu 0.751 0.751 0.000
Si 0.802 0.302 0.500
Pd 0.097 0.597 0.500
Pd 0.903 0.403 0.500
Si 0.548 0.548 0.000
Si 0.198 0.698 0.500

Computed properties:
Its symmetry is No. 71.



Verdict on stability: <w> comes out at the bottom.



<w>
Below is PrNdCu2 after structural relaxation, with properties calculated at the PBE-GGA level.

a b c (Å): 5.576 4.583 7.338
angles (deg): 90.00 90.41 90.00
Fractional positions:
Nd 0.873 0.250 0.177
Cu 0.620 0.750 0.967
Cu 0.116 0.250 0.535
Nd 0.127 0.750 0.823
Cu 0.884 0.750 0.465
Pr 0.627 0.250 0.679
Cu 0.380 0.250 0.033
Pr 0.373 0.750 0.321

Computed properties:
Its symmetry is No. 11.



<x>
Below is PrNdCu2 after structural relaxation, with properties calculated at the PBE-GGA level.

a b c (Å): 4.574 5.715 5.715
angles (deg): 39.94 90.00 90.00
Fractional positions:
Cu 0.000 0.067 0.067
Nd 0.000 0.359 0.359
Pr 0.500 0.642 0.642
Cu 0.500 0.932 0.932

Computed properties:
Its symmetry is No. 38.



Verdict on stability: <x> comes out at the bottom.



<w>
Below is PrNd2Zn2Cu2Si4 after structural relaxation, with properties calculated at the PBE-GGA level.

a b c (Å): 12.461 12.461 12.461
angles (deg): 160.81 160.77 27.29
Fractional positions:
Cu 0.750 0.750 0.000
Cu 0.250 0.250 0.000
Si 0.549 0.549 0.000
Nd 0.151 0.651 0.500
Zn 0.598 0.098 0.500
Nd 0.849 0.349 0.500
Si 0.698 0.198 0.500
Si 0.302 0.802 0.500
Zn 0.402 0.902 0.500
Si 0.451 0.451 0.000
Pr 0.000 0.000 0.000

Computed properties:
Its symmetry is No. 71.



<x>
Below is PrNd2Zn2Cu2Si4 after structural relaxation, with properties calculated at the PBE-GGA level.

a b c (Å): 12.574 12.574 12.574
angles (deg): 161.02 160.96 27.01
Fractional positions:
Nd 0.145 0.645 0.500
Cu 0.594 0.094 0.500
Si 0.451 0.451 0.000
Nd 0.855 0.355 0.500
Si 0.689 0.189 0.500
Zn 0.750 0.750 0.000
Zn 0.250 0.250 0.000
Cu 0.406 0.906 0.500
Pr 0.000 0.000 0.000
Si 0.311 0.811 0.500
Si 0.549 0.549 0.000

Computed properties:
Its symmetry is No. 71.



Verdict on stability: <x> comes out at the bottom.



<w>
Below is NdScCu after structural relaxation, with properties calculated at the PBE-GGA level.

a b c (Å): 4.762 4.762 4.762
angles (deg): 60.00 60.00 60.00
Fractional positions:
Sc 0.750 0.750 0.750
Nd 0.250 0.250 0.250
Cu 0.000 0.000 0.000

Computed properties:
Its symmetry is No. 216.



<x>
Below is NdScCu after structural relaxation, with properties calculated at the PBE-GGA level.

a b c (Å): 4.712 4.712 4.712
angles (deg): 60.00 60.00 60.00
Fractional positions:
Nd 0.000 0.000 0.000
Cu 0.250 0.250 0.250
Sc 0.750 0.750 0.750

Computed properties:
Its symmetry is No. 216.



Verdict on stability: <x> comes out at the bottom.



<w>
Below is CuNiOsPb after structural relaxation, with properties calculated at the PBE-GGA level.

a b c (Å): 4.393 4.393 4.393
angles (deg): 60.00 60.00 60.00
Fractional positions:
Ni 0.250 0.250 0.250
Cu 0.750 0.750 0.750
Pb 0.000 0.000 0.000
Os 0.500 0.500 0.500

Computed properties:
Its symmetry is No. 216.



<x>
Below is CuNiOsPb after structural relaxation, with properties calculated at the PBE-GGA level.

a b c (Å): 4.436 4.436 4.436
angles (deg): 60.00 60.00 60.00
Fractional positions:
Ni 0.500 0.500 0.500
Pb 0.000 0.000 0.000
Cu 0.750 0.750 0.750
Os 0.250 0.250 0.250

Computed properties:
Its symmetry is No. 216.



Verdict on stability: <w> comes out at the bottom.



<w>
Below is PaCuNi after structural relaxation, with properties calculated at the PBE-GGA level.

a b c (Å): 4.432 4.432 4.432
angles (deg): 60.00 60.00 60.00
Fractional positions:
Ni 0.750 0.750 0.750
Pa 0.000 0.000 0.000
Cu 0.250 0.250 0.250

Computed properties:
Its symmetry is No. 216.



<x>
Below is PaCuNi after structural relaxation, with properties calculated at the PBE-GGA level.

a b c (Å): 4.301 4.301 4.301
angles (deg): 60.00 60.00 60.00
Fractional positions:
Cu 0.750 0.750 0.750
Ni 0.000 0.000 0.000
Pa 0.250 0.250 0.250

Computed properties:
Its symmetry is No. 216.



Verdict on stability: <w> comes out at the bottom.



<w>
Below is ScCuNiPb after structural relaxation, with properties calculated at the PBE-GGA level.

a b c (Å): 4.580 4.580 4.580
angles (deg): 60.00 60.00 60.00
Fractional positions:
Cu 0.750 0.750 0.750
Ni 0.500 0.500 0.500
Sc 0.000 0.000 0.000
Pb 0.250 0.250 0.250

Computed properties:
Its symmetry is No. 216.



<x>
Below is ScCuNiPb after structural relaxation, with properties calculated at the PBE-GGA level.

a b c (Å): 4.551 4.551 4.551
angles (deg): 60.00 60.00 60.00
Fractional positions:
Ni 0.500 0.500 0.500
Pb 0.250 0.250 0.250
Sc 0.750 0.750 0.750
Cu 0.000 0.000 0.000

Computed properties:
Its symmetry is No. 216.



Verdict on stability: <w> comes out at the bottom.



<w>
Below is YCuNiPb after structural relaxation, with properties calculated at the PBE-GGA level.

a b c (Å): 4.752 4.752 4.752
angles (deg): 60.00 60.00 60.00
Fractional positions:
Cu 0.750 0.750 0.750
Y 0.000 0.000 0.000
Pb 0.250 0.250 0.250
Ni 0.500 0.500 0.500

Computed properties:
Its symmetry is No. 216.



<x>
Below is YCuNiPb after structural relaxation, with properties calculated at the PBE-GGA level.

a b c (Å): 4.782 4.782 4.782
angles (deg): 60.00 60.00 60.00
Fractional positions:
Ni 0.500 0.500 0.500
Pb 0.000 0.000 0.000
Cu 0.750 0.750 0.750
Y 0.250 0.250 0.250

Computed properties:
Its symmetry is No. 216.



Verdict on stability: <x> comes out at the bottom.